[1]
Density functional theory data (GGA-PBE) for an optimized crystal structure of Zr3Sb2As.

The structure belongs to space group C2/c (No. 15); the cell edges are 7.1653, 12.0732 and 6.8940 Å and the angles 90.00°, 109.18° and 90.00°. The distinct sites, in fractional coordinates, are Zr at (0.1959, 0.0720, 0.4785), Zr at (0.2500, 0.2500, 0.0000), Sb at (0.0000, 0.2712, 0.2500), Sb at (0.0000, 0.4272, 0.7500) and As at (0.0000, 0.0988, 0.7500).

The spin magnetization comes out at 0.00 μB per formula unit. The uncorrected formation energy is -0.755 eV/atom.

[2]
Density functional theory data (GGA-PBE) for an optimized crystal structure of ZrSb2As.

The structure belongs to space group Cmmm (No. 65); the cell edges are 6.3133, 7.9042 and 3.6674 Å and the angles 90.00°, 90.00° and 90.00°. The distinct sites, in fractional coordinates, are Zr at (0.0000, 0.0000, 0.0000), Sb at (0.2500, 0.2500, 0.5000) and As at (0.0000, 0.5000, 0.0000).

The spin magnetization comes out at 0.00 μB per formula unit. The uncorrected formation energy is -0.114 eV/atom.

[3]
Density functional theory data (GGA-PBE) for an optimized crystal structure of ZrSb2As.

The structure belongs to space group C2 (No. 5); the cell edges are 5.5637, 13.2510 and 3.8365 Å and the angles 90.00°, 133.23° and 90.00°. The distinct sites, in fractional coordinates, are Zr at (0.0000, 0.0000, 0.0000), Sb at (0.0000, 0.4199, 0.0000), Sb at (0.0000, 0.6981, 0.5000) and As at (0.0000, 0.1522, 0.5000).

The spin magnetization comes out at 0.00 μB per formula unit. The uncorrected formation energy is -0.256 eV/atom.

[4]
Density functional theory data (GGA-PBE) for an optimized crystal structure of ZrSb2As.

The structure belongs to space group Pm (No. 6); the cell edges are 4.1593, 4.2554 and 5.7652 Å and the angles 90.00°, 111.10° and 90.00°. The distinct sites, in fractional coordinates, are Zr at (0.0000, 0.0000, 0.0000), Sb at (0.4225, 0.5000, 0.8443), Sb at (0.7076, 0.0000, 0.4176) and As at (0.1694, 0.5000, 0.3427).

The spin magnetization comes out at 0.00 μB per formula unit. The uncorrected formation energy is -0.394 eV/atom.

[5]
Density functional theory data (GGA-PBE) for an optimized crystal structure of ZrSb2As.

The structure belongs to space group I-4m2 (No. 119); the cell edges are 4.2910, 4.2910 and 10.0352 Å and the angles 90.00°, 90.00° and 90.00°. The distinct sites, in fractional coordinates, are Zr at (0.0000, 0.0000, 0.0000), Sb at (0.0000, 0.0000, 0.5000), Sb at (0.0000, 0.5000, 0.2500) and As at (0.0000, 0.5000, 0.7500).

The spin magnetization comes out at 0.00 μB per formula unit. The uncorrected formation energy is -0.110 eV/atom.

[6]
Density functional theory data (GGA-PBE) for an optimized crystal structure of ZrSb2As.

The structure belongs to space group Cm (No. 8); the cell edges are 9.5502, 3.5851 and 6.0945 Å and the angles 90.00°, 94.72° and 90.00°. The distinct sites, in fractional coordinates, are Zr at (0.0000, 0.0000, 0.0000), Sb at (0.2127, 0.5000, 0.2677), Sb at (0.4818, 0.0000, 0.5990) and As at (0.2817, 0.0000, 0.9214).

The spin magnetization comes out at 0.00 μB per formula unit. The uncorrected formation energy is -0.214 eV/atom.

[7]
Density functional theory data (GGA-PBE) for an optimized crystal structure of ZrSb2As.

The structure belongs to space group Cmm2 (No. 35); the cell edges are 4.0015, 4.9665 and 9.8556 Å and the angles 90.00°, 90.00° and 90.00°. The distinct sites, in fractional coordinates, are Zr at (0.0000, 0.0000, 0.0000), Sb at (0.0000, 0.0000, 0.5364), Sb at (0.0000, 0.5000, 0.2304) and As at (0.0000, 0.5000, 0.8127).

The spin magnetization comes out at 0.00 μB per formula unit. The uncorrected formation energy is -0.145 eV/atom.

[8]
Density functional theory data (GGA-PBE) for an optimized crystal structure of Zr4SbAs.

The structure belongs to space group F-43m (No. 216); the cell edges are 8.1536, 8.1536 and 8.1536 Å and the angles 90.00°, 90.00° and 90.00°. The distinct sites, in fractional coordinates, are Zr at (0.1252, 0.1252, 0.1252), Sb at (0.0000, 0.0000, 0.5000) and As at (0.2500, 0.2500, 0.7500).

The spin magnetization comes out at 0.00 μB per formula unit. Its excess energy over the best structure of this formula in the dataset is 3.832 eV/f.u. The uncorrected formation energy is 0.054 eV/atom.

Question: Look up the spin magnetization of the seventh one.
Answer: 0.00 μB per formula unit

Question: Which formula does entry 5 have?
Answer: ZrSb2As